{
  "formula": "PaVIn2O8",
  "functional": "GGA+U",
  "state": "optimized geometry",
  "total_energy_ev_per_atom": -7.356,
  "dos_at_fermi_per_ev_fu": 0.00,
  "cell": [[3.4302, -3.4948, 0.0000], [3.4302, 3.4948, 0.0000], [0.0000, 0.0000, 6.5515]],
  "species": ["Pa", "V", "In", "In", "O", "O", "O", "O", "O", "O", "O", "O"],
  "fractional_positions": [[0.0000, 0.0000, 0.0000], [0.0000, 0.0000, 0.5000], [0.5000, 0.5000, 0.2639], [0.5000, 0.5000, 0.7361], [0.1814, 0.8186, 0.2782], [0.1814, 0.8186, 0.7218], [0.2784, 0.2784, 0.5000], [0.3069, 0.3069, 0.0000], [0.6931, 0.6931, 0.0000], [0.7216, 0.7216, 0.5000], [0.8186, 0.1814, 0.2782], [0.8186, 0.1814, 0.7218]]
}